Record 1
Entry from the Alexandria database: a relaxed structure of AgRh2Cl (PBE).

Values from the calculation:
E above lowest polymorph	564	meV per atom
volume	16.42	Å³/atom
formation energy (no corrections)	743	meV per atom
DFT total energy	-4.107	eV per atom
crystal system	cubic

The structure in CIF format:
```
data_AgRh2Cl
_chemical_formula_sum 'Ag4 Rh8 Cl4'
_cell_length_a 6.4044
_cell_length_b 6.4044
_cell_length_c 6.4044
_cell_angle_alpha 90.00
_cell_angle_beta 90.00
_cell_angle_gamma 90.00
_symmetry_space_group_name_H-M 'F m -3 m'
_symmetry_Int_Tables_number 225
_symmetry_space_group_name_Hall '-F 4 2 3'
loop_
_atom_site_label
_atom_site_type_symbol
_atom_site_fract_x
_atom_site_fract_y
_atom_site_fract_z
_atom_site_occupancy
Ag1 Ag 0.0000 0.0000 0.0000 1
Rh1 Rh 0.2500 0.2500 0.2500 1
Cl1 Cl 0.0000 0.0000 0.5000 1
```

---

Record 2
Entry from the Alexandria database: a relaxed structure of TbCe2NdSe4 (PBE).

Values from the calculation:
volume	25.88	Å³/atom
formation energy (no corrections)	-1816	meV per atom
DFT total energy	-6.217	eV per atom
crystal system	monoclinic

The structure in CIF format:
```
data_TbCe2NdSe4
_chemical_formula_sum 'Tb1 Ce2 Nd1 Se4'
_cell_length_a 7.2489
_cell_length_b 4.1654
_cell_length_c 7.2629
_cell_angle_alpha 90.00
_cell_angle_beta 109.22
_cell_angle_gamma 90.00
_symmetry_space_group_name_H-M 'P 1 2/m 1'
_symmetry_Int_Tables_number 10
_symmetry_space_group_name_Hall '-P 2y'
loop_
_atom_site_label
_atom_site_type_symbol
_atom_site_fract_x
_atom_site_fract_y
_atom_site_fract_z
_atom_site_occupancy
Tb1 Tb 0.0000 0.0000 0.0000 1
Ce1 Ce 0.5000 0.0000 0.5000 1
Ce2 Ce 0.5000 0.5000 0.0000 1
Nd1 Nd 0.0000 0.5000 0.5000 1
Se1 Se 0.2438 0.5000 0.2423 1
Se2 Se 0.2481 0.0000 0.7550 1
```

---

Record 3
Entry from the Alexandria database: a relaxed structure of RuPbCl2 (PBE).

Values from the calculation:
E above lowest polymorph	0	meV per atom
volume	24.56	Å³/atom
formation energy (no corrections)	-199	meV per atom
DFT total energy	-4.368	eV per atom
crystal system	monoclinic

The structure in CIF format:
```
data_RuPbCl2
_chemical_formula_sum 'Ru2 Pb2 Cl4'
_cell_length_a 10.3020
_cell_length_b 3.5478
_cell_length_c 5.9660
_cell_angle_alpha 90.00
_cell_angle_beta 115.71
_cell_angle_gamma 90.00
_symmetry_space_group_name_H-M 'C 1 m 1'
_symmetry_Int_Tables_number 8
_symmetry_space_group_name_Hall 'C -2y'
loop_
_atom_site_label
_atom_site_type_symbol
_atom_site_fract_x
_atom_site_fract_y
_atom_site_fract_z
_atom_site_occupancy
Ru1 Ru 0.0000 0.0000 0.0000 1
Pb1 Pb 0.2867 0.0000 0.0228 1
Cl1 Cl 0.1160 0.5000 0.3017 1
Cl2 Cl 0.4405 0.0000 0.6934 1
```

---

Record 4
Entry from the Alexandria database: a relaxed structure of La2Te2I (PBE).

Values from the calculation:
E above lowest polymorph	262	meV per atom
volume	33.96	Å³/atom
formation energy (no corrections)	-1303	meV per atom
DFT total energy	-4.841	eV per atom
crystal system	tetragonal

The structure in CIF format:
```
data_La2Te2I
_chemical_formula_sum 'La4 Te4 I2'
_cell_length_a 9.2863
_cell_length_b 9.2863
_cell_length_c 3.9375
_cell_angle_alpha 90.00
_cell_angle_beta 90.00
_cell_angle_gamma 90.00
_symmetry_space_group_name_H-M 'P 4/m b m'
_symmetry_Int_Tables_number 127
_symmetry_space_group_name_Hall '-P 4 2ab'
loop_
_atom_site_label
_atom_site_type_symbol
_atom_site_fract_x
_atom_site_fract_y
_atom_site_fract_z
_atom_site_occupancy
La1 La 0.1591 0.3409 0.0000 1
Te1 Te 0.1309 0.6309 0.5000 1
I1 I 0.0000 0.0000 0.5000 1
```

---

Record 5
Entry from the Alexandria database: a relaxed structure of NdTlGaAg (PBE).

Values from the calculation:
volume	23.63	Å³/atom
DFT total energy	-3.510	eV per atom
crystal system	cubic
calculated formation energy	-1.03	eV per formula unit

The structure in CIF format:
```
data_NdTlGaAg
_chemical_formula_sum 'Nd4 Tl4 Ga4 Ag4'
_cell_length_a 7.2307
_cell_length_b 7.2307
_cell_length_c 7.2307
_cell_angle_alpha 90.00
_cell_angle_beta 90.00
_cell_angle_gamma 90.00
_symmetry_space_group_name_H-M 'F -4 3 m'
_symmetry_Int_Tables_number 216
_symmetry_space_group_name_Hall 'F -4 2 3'
loop_
_atom_site_label
_atom_site_type_symbol
_atom_site_fract_x
_atom_site_fract_y
_atom_site_fract_z
_atom_site_occupancy
Nd1 Nd 0.0000 0.0000 0.0000 1
Tl1 Tl 0.0000 0.0000 0.5000 1
Ga1 Ga 0.2500 0.2500 0.7500 1
Ag1 Ag 0.2500 0.2500 0.2500 1
```

---

Record 6
Entry from the Alexandria database: a relaxed structure of Ce3Co (PBE).

Values from the calculation:
volume	22.62	Å³/atom
DFT total energy	-6.125	eV per atom
crystal system	orthorhombic
calculated formation energy	0.41	eV per formula unit

The structure in CIF format:
```
data_Ce3Co
_chemical_formula_sum 'Ce3 Co1'
_cell_length_a 3.0864
_cell_length_b 3.2736
_cell_length_c 8.9539
_cell_angle_alpha 90.00
_cell_angle_beta 90.00
_cell_angle_gamma 90.00
_symmetry_space_group_name_H-M 'P m m 2'
_symmetry_Int_Tables_number 25
_symmetry_space_group_name_Hall 'P 2 -2'
loop_
_atom_site_label
_atom_site_type_symbol
_atom_site_fract_x
_atom_site_fract_y
_atom_site_fract_z
_atom_site_occupancy
Ce1 Ce 0.0000 0.0000 0.0000 1
Ce2 Ce 0.0000 0.5000 0.2805 1
Ce3 Ce 0.5000 0.5000 0.6885 1
Co1 Co 0.5000 0.0000 0.4883 1
```

---

Record 7
Entry from the Alexandria database: a relaxed structure of LiScZn (PBE).

Values from the calculation:
E above lowest polymorph	64	meV per atom
volume	17.97	Å³/atom
DFT total energy	-3.269	eV per atom
crystal system	hexagonal
calculated formation energy	-0.29	eV per formula unit

The structure in CIF format:
```
data_LiScZn
_chemical_formula_sum 'Li1 Sc1 Zn1'
_cell_length_a 4.6199
_cell_length_b 4.6199
_cell_length_c 2.9170
_cell_angle_alpha 90.00
_cell_angle_beta 90.00
_cell_angle_gamma 120.00
_symmetry_space_group_name_H-M 'P -6 m 2'
_symmetry_Int_Tables_number 187
_symmetry_space_group_name_Hall 'P -6 2'
loop_
_atom_site_label
_atom_site_type_symbol
_atom_site_fract_x
_atom_site_fract_y
_atom_site_fract_z
_atom_site_occupancy
Li1 Li 0.0000 0.0000 0.0000 1
Sc1 Sc 0.3333 0.6667 0.5000 1
Zn1 Zn 0.6667 0.3333 0.0000 1
```

---

Record 8
Entry from the Alexandria database: a relaxed structure of SbPtSe2 (PBE).

Values from the calculation:
volume	26.48	Å³/atom
formation energy (no corrections)	-167	meV per atom
DFT total energy	-4.450	eV per atom
crystal system	monoclinic

The structure in CIF format:
```
data_SbPtSe2
_chemical_formula_sum 'Sb2 Pt2 Se4'
_cell_length_a 12.6468
_cell_length_b 3.7175
_cell_length_c 4.8825
_cell_angle_alpha 90.00
_cell_angle_beta 112.63
_cell_angle_gamma 90.00
_symmetry_space_group_name_H-M 'C 1 2/m 1'
_symmetry_Int_Tables_number 12
_symmetry_space_group_name_Hall '-C 2y'
loop_
_atom_site_label
_atom_site_type_symbol
_atom_site_fract_x
_atom_site_fract_y
_atom_site_fract_z
_atom_site_occupancy
Sb1 Sb 0.0000 0.0000 0.0000 1
Pt1 Pt 0.0000 0.5000 0.5000 1
Se1 Se 0.1463 0.0000 0.6458 1
```

---

Record 9
Entry from the Alexandria database: a relaxed structure of SbMo2Ru2 (PBE).

Values from the calculation:
volume	16.90	Å³/atom
formation energy (no corrections)	222	meV per atom
DFT total energy	-8.646	eV per atom
crystal system	tetragonal

The structure in CIF format:
```
data_SbMo2Ru2
_chemical_formula_sum 'Sb2 Mo4 Ru4'
_cell_length_a 7.6333
_cell_length_b 7.6333
_cell_length_c 2.9004
_cell_angle_alpha 90.00
_cell_angle_beta 90.00
_cell_angle_gamma 90.00
_symmetry_space_group_name_H-M 'P 4/m b m'
_symmetry_Int_Tables_number 127
_symmetry_space_group_name_Hall '-P 4 2ab'
loop_
_atom_site_label
_atom_site_type_symbol
_atom_site_fract_x
_atom_site_fract_y
_atom_site_fract_z
_atom_site_occupancy
Sb1 Sb 0.0000 0.0000 0.0000 1
Mo1 Mo 0.1497 0.3503 0.5000 1
Ru1 Ru 0.1377 0.6377 0.0000 1
```

---

Record 10
Entry from the Alexandria database: a relaxed structure of RbAu2Se2 (PBE).

Values from the calculation:
E above lowest polymorph	272	meV per atom
volume	24.98	Å³/atom
formation energy (no corrections)	-139	meV per atom
DFT total energy	-3.038	eV per atom
crystal system	tetragonal

The structure in CIF format:
```
data_RbAu2Se2
_chemical_formula_sum 'Rb2 Au4 Se4'
_cell_length_a 9.0943
_cell_length_b 9.0943
_cell_length_c 3.0206
_cell_angle_alpha 90.00
_cell_angle_beta 90.00
_cell_angle_gamma 90.00
_symmetry_space_group_name_H-M 'P 4/m b m'
_symmetry_Int_Tables_number 127
_symmetry_space_group_name_Hall '-P 4 2ab'
loop_
_atom_site_label
_atom_site_type_symbol
_atom_site_fract_x
_atom_site_fract_y
_atom_site_fract_z
_atom_site_occupancy
Rb1 Rb 0.0000 0.0000 0.0000 1
Au1 Au 0.1044 0.3956 0.0000 1
Se1 Se 0.2256 0.7256 0.5000 1
```